# 1
Entry from the Alexandria database: a geometry-optimized ReCl2 structure (PBE-GGA).

```
ReCl2
1.0
6.430 0.000 0.000
-3.215 5.569 0.000
0.000 0.000 7.547
Re Cl
3 6
Cartesian
0.000 0.000 0.000
0.000 3.713 3.773
3.215 1.856 3.773
-0.915 1.584 3.773
-2.110 3.654 0.000
1.830 0.000 3.773
1.105 1.915 0.000
4.219 0.000 0.000
2.300 3.984 3.773
```

Values from the calculation:
crystal system	hexagonal
mass density	4.740	g/cm3
spin magnetization	2.7	μB per formula unit
calculated total energy	-4.620	eV/atom
E above lowest polymorph	1013	meV per atom
uncorrected formation energy	73.39	kJ/mol of atoms

# 2
Entry from the Alexandria database: a geometry-optimized BaFe2Si structure (PBE-GGA).

```
BaFe2Si
1.0
3.553 -2.052 0.000
3.553 2.052 0.000
-2.385 0.000 5.766
Ba Fe Si
1 2 1
Cartesian
0.000 0.000 0.000
-0.009 0.000 3.138
4.729 0.000 2.628
2.360 0.000 2.883
```

Values from the calculation:
crystal system	monoclinic
mass density	5.474	g/cm3
spin magnetization	3.0	μB per formula unit
calculated total energy	-6.170	eV/atom
uncorrected formation energy	-9.91	kJ/mol of atoms

# 3
Entry from the Alexandria database: a geometry-optimized Tb4DyTm3 structure (PBE-GGA).

```
Tb4DyTm3
1.0
11.171 0.000 0.000
0.000 7.216 0.000
0.000 0.000 6.239
Tb Dy Tm
8 2 6
Cartesian
0.000 0.916 0.000
0.000 6.303 3.104
2.780 6.304 5.195
2.805 0.912 2.076
5.586 0.914 6.223
5.586 6.300 3.119
8.366 0.912 2.076
8.391 6.304 5.195
0.000 2.716 3.118
5.586 4.500 6.238
0.000 4.496 6.236
2.793 2.718 5.192
2.792 4.498 2.073
5.586 2.720 3.117
8.378 2.718 5.192
8.379 4.498 2.073
```

Values from the calculation:
crystal system	orthorhombic
mass density	8.618	g/cm3
spin magnetization	0.0	μB per formula unit
calculated total energy	-4.561	eV/atom
E above lowest polymorph	0	meV per atom

# 4
Entry from the Alexandria database: a geometry-optimized Pr3Hg2Pb structure (PBE-GGA).

```
Pr3Hg2Pb
1.0
3.804 0.000 0.000
0.000 3.804 0.000
0.000 0.000 12.255
Pr Hg Pb
3 2 1
Cartesian
0.000 0.000 0.000
0.000 0.000 3.960
0.000 0.000 8.295
1.902 1.902 1.920
1.902 1.902 10.335
1.902 1.902 6.127
```

Values from the calculation:
crystal system	tetragonal
mass density	9.656	g/cm3
spin magnetization	0.2	μB per formula unit
calculated total energy	-3.597	eV/atom
E above lowest polymorph	4	meV per atom

# 5
Entry from the Alexandria database: a geometry-optimized CdFe2Si structure (PBE-GGA).

```
CdFe2Si
1.0
1.377 0.795 8.382
-1.377 0.795 8.382
0.000 -1.590 8.382
Cd Fe Si
1 2 1
Cartesian
0.000 0.000 0.000
0.000 0.000 6.029
0.000 0.000 19.118
0.000 0.000 12.574
```

Values from the calculation:
crystal system	trigonal
mass density	7.608	g/cm3
spin magnetization	3.8	μB per formula unit
calculated total energy	-5.660	eV/atom
E above lowest polymorph	166	meV per atom
uncorrected formation energy	15.01	kJ/mol of atoms

# 6
Entry from the Alexandria database: a geometry-optimized Y2TcIr structure (PBE-GGA).

```
Y2TcIr
1.0
-3.796 3.796 3.021
3.796 -3.796 3.021
3.796 3.796 -3.021
Y Tc Ir
4 2 2
Cartesian
5.695 1.806 -0.755
1.806 1.898 0.755
-1.898 1.991 2.266
1.991 1.898 3.776
3.796 0.000 1.511
0.000 0.000 3.021
0.000 0.000 0.000
0.000 3.796 1.511
```

Values from the calculation:
crystal system	tetragonal
mass density	8.924	g/cm3
spin magnetization	1.4	μB per formula unit
calculated total energy	-7.799	eV/atom

# 7
Entry from the Alexandria database: a geometry-optimized Na2MgSi4Pt3 structure (PBE-GGA).

```
Na2MgSi4Pt3
1.0
4.185 0.000 0.000
0.000 4.185 0.000
0.000 0.000 10.292
Na Mg Si Pt
2 1 4 3
Cartesian
0.000 2.093 2.547
2.093 0.000 7.745
0.000 0.000 5.146
0.000 0.000 0.000
0.000 2.093 6.642
2.093 0.000 3.650
2.093 2.093 0.000
0.000 2.093 9.034
2.093 0.000 1.258
2.093 2.093 5.146
```

Values from the calculation:
crystal system	tetragonal
mass density	7.073	g/cm3
spin magnetization	0.0	μB per formula unit
calculated total energy	-4.859	eV/atom
uncorrected formation energy	-43.80	kJ/mol of atoms

# 8
Entry from the Alexandria database: a geometry-optimized RbSi2Ge6 structure (PBE-GGA).

```
RbSi2Ge6
1.0
4.060 -8.583 0.000
4.060 8.583 0.000
-2.392 0.000 6.879
Rb Si Ge
2 4 12
Cartesian
2.266 6.795 5.159
3.462 -6.795 1.720
1.846 1.151 3.972
3.042 -1.151 0.532
2.686 1.151 6.347
3.882 -1.151 2.907
2.452 5.252 0.844
1.172 3.518 4.447
0.237 0.905 5.976
1.433 -0.905 2.537
4.472 5.252 2.595
3.359 3.518 5.872
2.368 -3.518 1.007
1.256 -5.252 4.284
4.295 0.905 4.342
5.491 -0.905 0.903
4.556 -3.518 2.432
3.276 -5.252 6.035
```

Values from the calculation:
crystal system	monoclinic
mass density	4.000	g/cm3
spin magnetization	0.0	μB per formula unit
calculated total energy	-4.208	eV/atom
uncorrected formation energy	17.63	kJ/mol of atoms

# 9
Entry from the Alexandria database: a geometry-optimized InAg2Pb2 structure (PBE-GGA).

```
InAg2Pb2
1.0
-2.332 2.332 6.419
2.332 -2.332 6.419
2.332 2.332 -6.419
In Ag Pb
1 2 2
Cartesian
0.000 0.000 0.000
0.000 0.000 5.083
0.000 0.000 7.756
2.332 0.000 3.210
0.000 2.332 3.210
```

Values from the calculation:
crystal system	tetragonal
mass density	8.861	g/cm3
spin magnetization	0.0	μB per formula unit
calculated total energy	-2.958	eV/atom
E above lowest polymorph	144	meV per atom

# 10
Entry from the Alexandria database: a geometry-optimized RbBe4Sb3O12 structure (PBE-GGA).

```
RbBe4Sb3O12
1.0
5.111 2.951 2.628
-5.111 2.951 2.628
0.000 -5.901 2.628
Rb Be Sb O
1 4 3 12
Cartesian
0.000 0.000 0.000
-2.232 -3.866 3.942
0.000 0.000 3.942
-2.232 3.866 3.942
4.464 0.000 3.942
-2.827 -1.004 2.628
2.283 -1.946 2.628
0.544 2.951 2.628
-3.055 -2.628 3.622
-4.123 0.000 3.942
-0.748 -3.960 4.262
-1.583 0.000 3.942
-3.055 2.628 4.262
2.061 -3.571 3.942
0.791 -1.371 3.942
-0.748 3.960 3.622
0.791 1.371 3.942
3.803 -1.332 3.622
2.061 3.571 3.942
3.803 1.332 4.262
```

Values from the calculation:
crystal system	trigonal
mass density	4.741	g/cm3
spin magnetization	0.0	μB per formula unit
calculated total energy	-6.249	eV/atom
uncorrected formation energy	-179.66	kJ/mol of atoms

# 11
Entry from the Alexandria database: a geometry-optimized CeSnPt structure (PBE-GGA).

```
CeSnPt
1.0
7.387 0.000 0.000
0.000 4.647 0.000
0.000 0.000 8.078
Ce Sn Pt
4 4 4
Cartesian
0.085 1.162 1.597
3.608 3.485 5.636
3.779 1.162 2.443
7.302 3.485 6.482
1.303 1.162 4.724
2.391 3.485 0.685
4.997 1.162 7.393
6.085 3.485 3.354
1.625 3.485 3.329
2.069 1.162 7.369
5.318 3.485 0.710
5.763 1.162 4.749
```

Values from the calculation:
crystal system	orthorhombic
mass density	10.872	g/cm3
spin magnetization	0.5	μB per formula unit
calculated total energy	-6.320	eV/atom

# 12
Entry from the Alexandria database: a geometry-optimized NiH3Rh structure (PBE-GGA).

```
NiH3Rh
1.0
2.715 0.000 0.000
0.005 4.862 0.000
0.018 0.861 6.377
Ni H Rh
2 6 2
Cartesian
0.682 2.336 1.060
2.056 3.387 5.317
0.688 2.365 4.364
0.696 4.091 6.063
0.685 0.845 2.220
2.052 4.878 4.157
2.042 1.632 0.314
2.050 3.358 2.013
0.693 4.076 3.107
2.044 1.646 3.270
```

Values from the calculation:
crystal system	triclinic
mass density	6.495	g/cm3
spin magnetization	0.0	μB per formula unit
calculated total energy	-4.603	eV/atom

# 13
Entry from the Alexandria database: a geometry-optimized LaTbErAg structure (PBE-GGA).

```
LaTbErAg
1.0
3.653 0.000 0.000
0.000 3.653 0.000
0.000 0.000 8.716
La Tb Er Ag
1 1 1 1
Cartesian
0.000 0.000 0.000
1.827 1.827 6.126
1.827 1.827 2.572
0.000 0.000 4.292
```

Values from the calculation:
crystal system	tetragonal
mass density	8.180	g/cm3
spin magnetization	0.0	μB per formula unit
calculated total energy	-4.370	eV/atom
E above lowest polymorph	0	meV per atom

# 14
Entry from the Alexandria database: a geometry-optimized In4SnHg2Bi structure (PBE-GGA).

```
In4SnHg2Bi
1.0
6.120 0.000 0.000
0.000 5.603 0.000
-1.607 0.000 6.543
In Sn Hg Bi
4 1 2 1
Cartesian
-0.344 0.000 1.599
2.567 2.801 1.622
1.947 2.801 4.921
4.858 0.000 4.944
3.060 0.000 0.000
0.000 2.801 0.000
2.257 0.000 3.272
-0.804 2.801 3.272
```

Values from the calculation:
crystal system	monoclinic
mass density	8.793	g/cm3
spin magnetization	0.0	μB per formula unit
calculated total energy	-2.407	eV/atom

# 15
Entry from the Alexandria database: a geometry-optimized Ba2MgNpS6 structure (PBE-GGA).

```
Ba2MgNpS6
1.0
7.102 0.000 0.000
0.000 7.180 0.000
-7.082 0.000 10.087
Ba Mg Np S
4 2 2 12
Cartesian
-0.062 0.323 2.504
-3.603 3.267 7.547
3.624 3.913 2.539
0.083 6.857 7.583
-3.541 0.000 5.043
0.000 3.590 0.000
3.551 0.000 0.000
0.010 3.590 5.043
-5.543 1.514 9.758
-2.002 2.076 4.715
-5.022 5.139 9.770
-1.482 5.630 4.726
-3.099 0.039 7.588
0.442 3.551 2.545
-0.421 3.629 7.541
3.120 7.140 2.498
1.502 1.549 5.360
5.043 2.041 0.317
2.022 5.104 5.372
5.563 5.665 0.328
```

Values from the calculation:
crystal system	monoclinic
mass density	4.703	g/cm3
spin magnetization	1.0	μB per formula unit
calculated total energy	-5.859	eV/atom
uncorrected formation energy	-148.98	kJ/mol of atoms

# 16
Entry from the Alexandria database: a geometry-optimized TaNiOs3 structure (PBE-GGA).

```
TaNiOs3
1.0
4.379 0.000 0.000
0.000 4.379 0.000
0.000 0.000 4.379
Ta Ni Os
1 1 3
Cartesian
0.000 0.000 0.000
2.189 2.189 2.189
0.000 2.189 2.189
2.189 0.000 2.189
2.189 2.189 0.000
```

Values from the calculation:
crystal system	cubic
mass density	16.030	g/cm3
spin magnetization	1.3	μB per formula unit
calculated total energy	-8.755	eV/atom
E above lowest polymorph	0	meV per atom

# 17
Entry from the Alexandria database: a geometry-optimized Dy2HoI structure (PBE-GGA).

```
Dy2HoI
1.0
3.627 0.000 0.000
0.000 3.627 0.000
0.000 0.000 9.465
Dy Ho I
2 1 1
Cartesian
0.000 0.000 2.323
0.000 0.000 7.142
1.813 1.813 4.733
1.813 1.813 0.000
```

Values from the calculation:
crystal system	tetragonal
mass density	8.226	g/cm3
spin magnetization	0.0	μB per formula unit
calculated total energy	-4.112	eV/atom
E above lowest polymorph	61	meV per atom
uncorrected formation energy	-26.90	kJ/mol of atoms

# 18
Entry from the Alexandria database: a geometry-optimized PuPaPd2 structure (PBE-GGA).

```
PuPaPd2
1.0
1.561 0.901 9.861
-1.561 0.901 9.861
0.000 -1.802 9.861
Pu Pa Pd
1 1 2
Cartesian
0.000 0.000 0.000
0.000 0.000 14.791
0.000 0.000 7.398
0.000 0.000 22.184
```

Values from the calculation:
crystal system	trigonal
mass density	13.728	g/cm3
spin magnetization	5.4	μB per formula unit
calculated total energy	-8.709	eV/atom
E above lowest polymorph	238	meV per atom

# 19
Entry from the Alexandria database: a geometry-optimized ZrTaPt structure (PBE-GGA).

```
ZrTaPt
1.0
4.733 0.000 0.000
-2.366 4.099 0.000
0.000 0.000 2.898
Zr Ta Pt
1 1 1
Cartesian
0.000 0.000 0.000
0.000 2.732 1.449
2.366 1.366 1.449
```

Values from the calculation:
crystal system	hexagonal
mass density	13.805	g/cm3
spin magnetization	0.0	μB per formula unit
calculated total energy	-9.047	eV/atom
E above lowest polymorph	257	meV per atom

# 20
Entry from the Alexandria database: a geometry-optimized BaCo2As structure (PBE-GGA).

```
BaCo2As
1.0
-2.149 2.966 3.579
2.149 -2.966 3.579
2.149 2.966 -3.579
Ba Co As
1 2 1
Cartesian
0.000 0.000 0.000
2.149 0.000 2.478
0.000 2.966 1.101
0.000 0.000 3.579
```

Values from the calculation:
crystal system	orthorhombic
mass density	6.007	g/cm3
spin magnetization	3.3	μB per formula unit
calculated total energy	-4.900	eV/atom